(1)
A relaxed structure of NiGe2RhPb, computed with PBE.

## Properties
* space group: No. 123
* uncorrected energy: -4.897 eV per atom
* DOS(E_F): 8.1 states/eV per cell
* formation enthalpy at 0 K: 319 meV per atom

Geometry as POSCAR:
```
NiGe2RhPb
1.0
4.681 0.000 0.000
0.000 4.681 0.000
0.000 0.000 4.955
Ni Ge Rh Pb
1 2 1 1
direct
0.000 0.000 0.000
0.000 0.500 0.500
0.500 0.000 0.500
0.000 0.000 0.500
0.500 0.500 0.000
```


(2)
A relaxed structure of HfFe3Tc, computed with PBE.

## Properties
* energy relative to the lowest polymorph listed for this composition: 0.0000 eV per atom
* space group: No. 221
* uncorrected energy: -8.125 eV per atom
* DOS(E_F): 5.2 states/eV per cell
* formation enthalpy at 0 K: 1017 meV per atom

Geometry as POSCAR:
```
HfFe3Tc
1.0
4.375 0.000 0.000
0.000 4.375 0.000
0.000 0.000 4.375
Hf Fe Tc
1 3 1
direct
0.000 0.000 0.000
0.000 0.500 0.500
0.500 0.000 0.500
0.500 0.500 0.000
0.500 0.500 0.500
```


(3)
A relaxed structure of SmTl2OsO8, computed with PBE.

## Properties
* space group: No. 2
* uncorrected energy: -6.285 eV per atom
* DOS(E_F): 4.3 states/eV per cell
* energy relative to the elements, uncorrected: -15.07 eV per formula unit

Geometry as POSCAR:
```
SmTl2OsO8
1.0
5.112 0.000 0.000
-0.031 5.117 0.000
-0.041 -0.041 6.804
Sm Tl Os O
1 2 1 8
direct
0.000 0.000 0.000
0.496 0.496 0.748
0.504 0.504 0.252
0.000 0.000 0.500
0.179 0.822 0.295
0.181 0.825 0.705
0.262 0.267 0.500
0.306 0.310 0.003
0.694 0.690 0.997
0.738 0.733 0.500
0.819 0.175 0.295
0.821 0.178 0.705
```